No. 1
# CdPtAu2

A relaxed structure of CdPtAu2 (GGA-PBE, Alexandria via LeMat-Bulk).

Space group: No. 160
DOS at the Fermi energy in states/eV/atom: 0.387
Energy in eV/atom: -3.4371
DFT formation energy in eV per formula unit: -0.2
Total magnetization in Bohr magnetons per cell: 0.00

Cell lengths 9.592, 9.592, 9.592 Å; angles 17.74, 17.74, 17.74 degrees
Sites, in units of the cell vectors:
Au  0.001  0.001  0.001
Au  0.250  0.250  0.250
Pt  0.750  0.750  0.750
Cd  0.498  0.498  0.498

---

No. 2
# Pr4SbPbN

A relaxed structure of Pr4SbPbN (GGA-PBE, Alexandria via LeMat-Bulk).

Space group: No. 63
DOS at the Fermi energy in states/eV/atom: 0.931
Energy in eV/atom: -5.9193
Formation energy from raw total energies in eV/atom: -0.88
Total magnetization in Bohr magnetons per cell: 0.00

Cell lengths 7.001, 6.992, 9.078 Å; angles 90.00, 112.68, 90.00 degrees
Sites, in units of the cell vectors:
Pr  0.588  0.250  0.176
Pr  0.500  0.000  0.500
Pr  0.910  0.250  0.820
Pr  0.090  0.750  0.180
Pr  0.412  0.750  0.824
Pr  0.000  0.500  0.500
Pr  0.000  0.000  0.500
Pr  0.500  0.500  0.500
Sb  0.610  0.750  0.219
Sb  0.390  0.250  0.781
N  0.750  0.250  0.500
N  0.250  0.750  0.500
Pb  0.105  0.250  0.211
Pb  0.895  0.750  0.789